Here is CsPuGaSe4 after structural relaxation from the Alexandria database. Energies are from GGA-PBE.

The space group is P2_1/m (No. 11) and the conventional cell measures 6.7657, 6.8851 and 10.0047 Å, with angles of 90.00, 109.36 and 90.00 degrees. The distinct sites, in fractional coordinates, are Cs at (0.2471, 0.2500, 0.0533), Pu at (0.2307, 0.2500, 0.5517), Ga at (0.2268, 0.7500, 0.3401), Se at (0.0237, 0.5149, 0.6944), Se at (0.4279, 0.7500, 0.1834) and Se at (0.4568, 0.7500, 0.5821).

The calculation puts the density of states at the Fermi level at 1.46 states/eV/atom. The crystal system is monoclinic. The value obtained for the uncorrected formation energy is -1037.6 meV/atom.